DFT (PBE) results for Dy2TmNpP4 after structural relaxation.

Cell: 6.877 3.970 6.886 Å, 90.00 109.32 90.00°
Positions (direct):
Dy  0.000  0.000  0.000
Dy  0.500  0.500  0.000
Tm  0.000  0.500  0.500
Np  0.500  0.000  0.500
P  0.251  0.000  0.744
P  0.253  0.500  0.255
P  0.747  0.500  0.745
P  0.749  0.000  0.256

Results
DOS(E_F) = 9.97 states/eV per cell
Energy relative to the elements = -1.419 eV/atom
Calculated total energy = -59.6 eV per cell
Symmetry = P2/m (10)

***

DFT (PBE) results for Li3PS6 after structural relaxation.

Cell: 7.948 7.948 7.948 Å, 108.00 108.00 108.00°
Positions (direct):
Li  0.202  0.633  0.246
Li  0.246  0.202  0.633
Li  0.367  0.754  0.798
Li  0.633  0.246  0.202
Li  0.754  0.798  0.367
Li  0.798  0.367  0.754
P  0.000  0.000  0.000
P  0.500  0.500  0.500
S  0.040  0.703  0.817
S  0.164  0.415  0.479
S  0.183  0.960  0.297
S  0.297  0.183  0.960
S  0.415  0.479  0.164
S  0.479  0.164  0.415
S  0.521  0.836  0.585
S  0.585  0.521  0.836
S  0.703  0.817  0.040
S  0.817  0.040  0.703
S  0.836  0.585  0.521
S  0.960  0.297  0.183

Results
Formation energy without anion corrections = -4.3 eV/f.u.
Calculated total energy = -80.4 eV per cell
Symmetry = R-3 (148)

***

DFT (PBE) results for ZnAg2Sb2 after structural relaxation.

Cell: 8.869 8.869 3.022 Å, 90.00 90.00 90.00°
Positions (direct):
Zn  0.000  0.000  0.000
Zn  0.500  0.500  0.000
Ag  0.143  0.357  0.500
Ag  0.357  0.857  0.500
Ag  0.643  0.143  0.500
Ag  0.857  0.643  0.500
Sb  0.155  0.655  0.000
Sb  0.345  0.155  0.000
Sb  0.655  0.845  0.000
Sb  0.845  0.345  0.000

Results
Formation energy without anion corrections = 1.1 eV/f.u.
DOS(E_F) = 3.22 states/eV per cell
Calculated total energy = -28.3 eV per cell
Symmetry = P4/mbm (127)
Energy above the most stable polymorph in this dataset = 9 meV/atom

***

DFT (PBE) results for SnAuBr6 after structural relaxation.

Cell: 6.284 7.127 7.946 Å, 110.17 111.92 95.93°
Positions (direct):
Sn  0.000  0.000  0.000
Au  0.500  0.500  0.000
Br  0.131  0.644  0.863
Br  0.201  0.146  0.797
Br  0.374  0.181  0.331
Br  0.626  0.819  0.669
Br  0.799  0.854  0.203
Br  0.869  0.356  0.137

Results
Formation energy without anion corrections = -2.8 eV/f.u.
DOS(E_F) = 5.68 states/eV per cell
Calculated total energy = -20.1 eV per cell
Symmetry = P-1 (2)

***

- Which of these has the highest calculated total energy?
  SnAuBr6

***

- Which of these has the highest calculated total energy?
  SnAuBr6

***

- Look up the calculated total energy of the fourth one.
  -20.1 eV per cell

***

- calculated total energy of number 1 (Dy2TmNpP4)?
  -59.6 eV per cell